DFT (PBE-GGA) results for Er2TiPt9 after structural relaxation.

Unit cell a=4.051 b=4.051 c=12.149 alpha=90.00 beta=90.00 gamma=90.00
Positions (direct):
1 Er 0.000 0.000 0.669
2 Er 0.000 0.000 0.331
3 Pt 0.500 0.500 0.672
4 Pt 0.000 0.500 0.500
5 Pt 0.500 0.000 0.155
6 Pt 0.500 0.000 0.845
7 Pt 0.500 0.500 0.000
8 Pt 0.500 0.000 0.500
9 Pt 0.000 0.500 0.845
10 Pt 0.500 0.500 0.328
11 Pt 0.000 0.500 0.155
12 Ti 0.000 0.000 0.000

Results
Space-group type: P4/mmm, No. 123
Calculated formation energy: -1018 meV per atom

DFT (PBE-GGA) results for Rb2CdSe after structural relaxation.

Unit cell a=7.665 b=7.665 c=10.769 alpha=69.15 beta=69.15 gamma=90.00
Positions (direct):
1 Rb 0.875 0.782 0.750
2 Rb 0.532 0.125 0.250
3 Rb 0.218 0.625 0.250
4 Rb 0.375 0.468 0.750
5 Se 0.250 0.750 0.500
6 Se 0.500 0.500 0.000
7 Cd 0.750 0.250 0.500
8 Cd 0.000 0.000 0.000

Results
Space-group type: I-42d, No. 122
Formation energy (no corrections): -0.393 eV per atom

DFT (PBE-GGA) results for LaTa2Tl after structural relaxation.

Unit cell a=5.316 b=5.316 c=5.316 alpha=127.83 beta=127.83 gamma=76.90
Positions (direct):
1 Ta 0.250 0.750 0.500
2 Ta 0.000 0.000 0.000
3 La 0.750 0.250 0.500
4 Tl 0.500 0.500 0.000

Results
Space-group type: I-4m2, No. 119
Calculated formation energy: 550 meV per atom

DFT (PBE-GGA) results for Rb3SbF8 after structural relaxation.

Unit cell a=6.145 b=6.145 c=7.387 alpha=114.58 beta=114.58 gamma=90.00
Positions (direct):
1 F 0.295 0.295 0.201
2 F 0.095 0.095 0.799
3 F 0.705 0.095 0.799
4 F 0.905 0.295 0.201
5 F 0.905 0.905 0.201
6 F 0.705 0.705 0.799
7 F 0.095 0.705 0.799
8 F 0.295 0.905 0.201
9 Rb 0.500 0.500 0.000
10 Rb 0.250 0.750 0.500
11 Rb 0.750 0.250 0.500
12 Sb 0.000 0.000 0.000

Results
Space-group type: I4/mmm, No. 139
Formation energy (no corrections): -2.528 eV per atom

DFT (PBE-GGA) results for SrTlBPb after structural relaxation.

Unit cell a=4.141 b=4.141 c=7.403 alpha=90.00 beta=90.00 gamma=120.00
Positions (direct):
1 Sr 0.333 0.667 0.670
2 B 0.667 0.333 0.441
3 Tl 0.667 0.333 0.033
4 Pb 0.000 0.000 0.328

Results
Space-group type: P3m1, No. 156
Calculated formation energy: 262 meV per atom

DFT (PBE-GGA) results for TaTcW2 after structural relaxation.

Unit cell a=3.185 b=4.476 c=4.542 alpha=90.00 beta=90.00 gamma=90.00
Positions (direct):
1 W 0.000 0.000 0.000
2 W 0.500 0.500 0.000
3 Tc 0.000 0.500 0.500
4 Ta 0.500 0.000 0.500

Results
Space-group type: Pmmm, No. 47
Calculated formation energy: -157 meV per atom

Number 1: N(E_F) 0.621 states/eV/atom. Number 2: N(E_F) 0.000 states/eV/atom. Number 3: N(E_F) 1.281 states/eV/atom. Number 4: N(E_F) 0.000 states/eV/atom. Number 5: N(E_F) 0.344 states/eV/atom. Number 6: N(E_F) 0.455 states/eV/atom.